# 1
Li2LaHo | PBE-GGA | relaxed

Calculated values
- Formation enthalpy at 0 K: 0.15 eV per atom
- Total magnetization: 0.000 μB/f.u.
- Space-group type: P4/mmm, No. 123

Lattice parameters (Å, degrees): 3.7691 3.7691 7.6538 90.00 90.00 90.00
Fractional coordinates of all 4 atoms:
Li 0.0000 0.0000 0.2392
Li 0.0000 0.0000 0.7608
La 0.5000 0.5000 0.5000
Ho 0.5000 0.5000 0.0000

# 2
LiLa2Ho | PBE-GGA | relaxed

Calculated values
- Formation enthalpy at 0 K: 0.07 eV per atom
- Total magnetization: 0.000 μB/f.u.
- Space-group type: R3m, No. 160

Lattice parameters (Å, degrees): 11.6970 11.6970 11.6970 17.83 17.83 17.83
Fractional coordinates of all 4 atoms:
Li 0.0000 0.0000 0.0000
La 0.4172 0.4172 0.4172
La 0.5843 0.5843 0.5843
Ho 0.1676 0.1676 0.1676

# 3
LiLaHoLu | PBE-GGA | relaxed

Calculated values
- Formation enthalpy at 0 K: 0.15 eV per atom
- Total magnetization: 0.003 μB/f.u.
- Space-group type: F-43m, No. 216

Lattice parameters (Å, degrees): 5.5284 5.5284 5.5284 60.00 60.00 60.00
Fractional coordinates of all 4 atoms:
Li 0.0000 0.0000 0.0000
La 0.2500 0.2500 0.2500
Ho 0.7500 0.7500 0.7500
Lu 0.5000 0.5000 0.5000

# 4
Li2La2HoMg5 | PBE-GGA | relaxed

Calculated values
- Formation enthalpy at 0 K: -0.05 eV per atom
- Total magnetization: 0.000 μB/f.u.
- Space-group type: P4/mbm, No. 127

Lattice parameters (Å, degrees): 10.8471 10.8471 4.4834 90.00 90.00 90.00
Fractional coordinates of all 20 atoms:
Li 0.1133 0.3867 0.0000
Li 0.3867 0.8867 0.0000
Li 0.6133 0.1133 0.0000
Li 0.8867 0.6133 0.0000
La 0.1819 0.6819 0.0000
La 0.3181 0.1819 0.0000
La 0.6819 0.8181 0.0000
La 0.8181 0.3181 0.0000
Ho 0.0000 0.0000 0.0000
Ho 0.5000 0.5000 0.0000
Mg 0.0000 0.5000 0.5000
Mg 0.0588 0.2137 0.5000
Mg 0.2137 0.9412 0.5000
Mg 0.2863 0.4412 0.5000
Mg 0.4412 0.7137 0.5000
Mg 0.5000 0.0000 0.5000
Mg 0.5588 0.2863 0.5000
Mg 0.7137 0.5588 0.5000
Mg 0.7863 0.0588 0.5000
Mg 0.9412 0.7863 0.5000

# 5
LiLaHoMn | PBE-GGA | relaxed

Calculated values
- Formation enthalpy at 0 K: 0.15 eV per atom
- Total magnetization: 2.377 μB/f.u.
- Space-group type: F-43m, No. 216

Lattice parameters (Å, degrees): 5.1516 5.1516 5.1516 60.00 60.00 60.00
Fractional coordinates of all 4 atoms:
Li 0.0000 0.0000 0.0000
La 0.2500 0.2500 0.2500
Ho 0.7500 0.7500 0.7500
Mn 0.5000 0.5000 0.5000

# 6
LiLaNdHo | PBE-GGA | relaxed

Calculated values
- Formation enthalpy at 0 K: 0.15 eV per atom
- Total magnetization: 0.000 μB/f.u.
- Space-group type: F-43m, No. 216

Lattice parameters (Å, degrees): 5.6261 5.6261 5.6261 60.00 60.00 60.00
Fractional coordinates of all 4 atoms:
Li 0.0000 0.0000 0.0000
La 0.7500 0.7500 0.7500
Nd 0.2500 0.2500 0.2500
Ho 0.5000 0.5000 0.5000

# 7
LiLaHoNi | PBE-GGA | relaxed

Calculated values
- Formation enthalpy at 0 K: -0.08 eV per atom
- Total magnetization: 0.000 μB/f.u.
- Space-group type: F-43m, No. 216

Lattice parameters (Å, degrees): 5.0428 5.0428 5.0428 60.00 60.00 60.00
Fractional coordinates of all 4 atoms:
Li 0.0000 0.0000 0.0000
La 0.7500 0.7500 0.7500
Ho 0.2500 0.2500 0.2500
Ni 0.5000 0.5000 0.5000

# 8
LiLaHoOs | PBE-GGA | relaxed

Calculated values
- Formation enthalpy at 0 K: -0.14 eV per atom
- Total magnetization: 0.000 μB/f.u.
- Space-group type: F-43m, No. 216

Lattice parameters (Å, degrees): 5.0062 5.0062 5.0062 60.00 60.00 60.00
Fractional coordinates of all 4 atoms:
Li 0.0000 0.0000 0.0000
La 0.7500 0.7500 0.7500
Ho 0.2500 0.2500 0.2500
Os 0.5000 0.5000 0.5000

# 9
Li2LaHo2Pb2 | PBE-GGA | relaxed

Calculated values
- Formation enthalpy at 0 K: -0.35 eV per atom
- Total magnetization: 0.000 μB/f.u.
- Space-group type: R-3m, No. 166

Lattice parameters (Å, degrees): 9.5156 9.5156 9.5156 29.82 29.82 29.82
Fractional coordinates of all 7 atoms:
Li 0.0818 0.0818 0.0818
Li 0.9182 0.9182 0.9182
La 0.5000 0.5000 0.5000
Ho 0.3685 0.3685 0.3685
Ho 0.6315 0.6315 0.6315
Pb 0.2408 0.2408 0.2408
Pb 0.7592 0.7592 0.7592

# 10
LiLaPrHo | PBE-GGA | relaxed

Calculated values
- Formation enthalpy at 0 K: 0.14 eV per atom
- Total magnetization: 0.002 μB/f.u.
- Space-group type: F-43m, No. 216

Lattice parameters (Å, degrees): 5.6398 5.6398 5.6398 60.00 60.00 60.00
Fractional coordinates of all 4 atoms:
Li 0.0000 0.0000 0.0000
La 0.2500 0.2500 0.2500
Pr 0.7500 0.7500 0.7500
Ho 0.5000 0.5000 0.5000

# 11
LiLaHoRu | PBE-GGA | relaxed

Calculated values
- Formation enthalpy at 0 K: -0.19 eV per atom
- Total magnetization: 0.000 μB/f.u.
- Space-group type: F-43m, No. 216

Lattice parameters (Å, degrees): 5.0222 5.0222 5.0222 60.00 60.00 60.00
Fractional coordinates of all 4 atoms:
Li 0.0000 0.0000 0.0000
La 0.2500 0.2500 0.2500
Ho 0.7500 0.7500 0.7500
Ru 0.5000 0.5000 0.5000

# 12
LiLa4Ho3S8 | PBE-GGA | relaxed

Calculated values
- Electronic total energy: -6.294 eV/atom
- Total magnetization: 0.000 μB/f.u.
- Space-group type: R-3m, No. 166

Lattice parameters (Å, degrees): 8.0674 8.0674 8.0674 59.35 59.35 59.35
Fractional coordinates of all 16 atoms:
Li 0.0000 0.0000 0.0000
La 0.0000 0.0000 0.5000
La 0.0000 0.5000 0.0000
La 0.5000 0.0000 0.0000
La 0.5000 0.5000 0.5000
Ho 0.0000 0.5000 0.5000
Ho 0.5000 0.0000 0.5000
Ho 0.5000 0.5000 0.0000
S 0.2404 0.2404 0.7449
S 0.2404 0.7449 0.2404
S 0.2551 0.7596 0.7596
S 0.2572 0.2572 0.2572
S 0.7428 0.7428 0.7428
S 0.7449 0.2404 0.2404
S 0.7596 0.2551 0.7596
S 0.7596 0.7596 0.2551